Entry 1:
Entry from the Alexandria database: crystalline Dy2SbRu at its relaxed geometry (PBE).

Unit cell a=3.4048 b=3.4048 c=8.1027 alpha=90.00 beta=90.00 gamma=90.00
Positions (direct):
Dy: 0.0000 0.0000 0.2063
Dy: 0.0000 0.0000 0.7937
Ru: 0.5000 0.5000 0.0000
Sb: 0.5000 0.5000 0.5000

## Properties
Uncorrected formation energy in meV per atom: -600
M_tot in μB/atom: 0.000
E in eV/atom: -6.250


Entry 2:
Entry from the Alexandria database: crystalline Ba2Cd at its relaxed geometry (PBE).

Unit cell a=16.5146 b=16.5146 c=16.5146 alpha=165.23 beta=165.23 gamma=20.94
Positions (direct):
Cd: 0.0000 0.0000 0.0000
Cd: 0.2500 0.7500 0.5000
Ba: 0.4370 0.4370 0.0000
Ba: 0.5630 0.5630 0.0000
Ba: 0.8130 0.3130 0.5000
Ba: 0.6870 0.1870 0.5000

## Properties
M_tot in μB/atom: 0.000
E in eV/atom: -1.769


Entry 3:
Entry from the Alexandria database: crystalline CaMgCd17 at its relaxed geometry (PBE).

Unit cell a=7.7347 b=7.7347 c=7.7347 alpha=81.90 beta=81.90 gamma=81.90
Positions (direct):
Cd: 0.3466 0.8933 0.3466
Cd: 0.6994 0.3016 0.0016
Cd: 0.6994 0.0016 0.3016
Cd: 0.5911 0.2468 0.5911
Cd: 0.9705 0.5369 0.9705
Cd: 0.3466 0.3466 0.8933
Cd: 0.3016 0.6994 0.0016
Cd: 0.2468 0.5911 0.5911
Cd: 0.8933 0.3466 0.3466
Cd: 0.9705 0.9705 0.5369
Cd: 0.0016 0.6994 0.3016
Cd: 0.0016 0.3016 0.6994
Cd: 0.5911 0.5911 0.2468
Cd: 0.5369 0.9705 0.9705
Cd: 0.9137 0.9137 0.9137
Cd: 0.1067 0.1067 0.1067
Cd: 0.3016 0.0016 0.6994
Ca: 0.6690 0.6690 0.6690
Mg: 0.3117 0.3117 0.3117

## Properties
M_tot in μB/atom: 0.000
E in eV/atom: -1.054


Entry 4:
Entry from the Alexandria database: crystalline Li5B8C8 at its relaxed geometry (PBE).

Unit cell a=4.6928 b=5.4450 c=7.2107 alpha=90.00 beta=90.54 gamma=90.00
Positions (direct):
Li: 0.5000 0.2503 0.0000
Li: 0.5000 0.7497 0.0000
Li: 0.5000 0.2418 0.5000
Li: 0.0000 0.5000 0.5000
Li: 0.5000 0.7582 0.5000
B: 0.8363 0.2485 0.7512
B: 0.6705 0.0000 0.2529
B: 0.8363 0.7515 0.7512
B: 0.3319 0.5000 0.7453
B: 0.6681 0.5000 0.2547
B: 0.3295 0.0000 0.7471
B: 0.1637 0.7515 0.2488
B: 0.1637 0.2485 0.2488
C: 0.1718 0.7495 0.7442
C: 0.8282 0.2505 0.2558
C: 0.3275 0.5000 0.2541
C: 0.8282 0.7495 0.2558
C: 0.6690 0.0000 0.7525
C: 0.3310 0.0000 0.2475
C: 0.1718 0.2505 0.7442
C: 0.6725 0.5000 0.7459

## Properties
M_tot in μB/atom: 0.000
E in eV/atom: -6.652


Entry 5:
Entry from the Alexandria database: crystalline Nd7Dy5 at its relaxed geometry (PBE).

Unit cell a=3.6431 b=9.6107 c=12.2959 alpha=73.75 beta=81.48 gamma=79.07
Positions (direct):
Nd: 0.6397 0.9720 0.7487
Nd: 0.3327 0.3317 0.0029
Nd: 0.5000 0.5000 0.5000
Nd: 0.6673 0.6683 0.9971
Nd: 0.3603 0.0280 0.2513
Nd: 0.9718 0.3065 0.7500
Nd: 0.0282 0.6935 0.2500
Dy: 0.6939 0.3599 0.2522
Dy: 0.1681 0.1658 0.4980
Dy: 0.0000 0.0000 0.0000
Dy: 0.3061 0.6401 0.7478
Dy: 0.8319 0.8342 0.5020

## Properties
M_tot in μB/atom: 0.000
E in eV/atom: -4.691


Entry 6:
Entry from the Alexandria database: crystalline Rb2UAg2O6 at its relaxed geometry (PBE).

Unit cell a=5.8432 b=5.8432 c=7.3008 alpha=104.03 beta=104.03 gamma=111.33
Each line ends with the local moment (μB).
Positions (direct):
Rb: 0.1837 0.8163 0.0000  0.00
Rb: 0.8163 0.1837 0.0000  0.00
O: 0.9804 0.6738 0.3018  0.13
O: 0.3262 0.0196 0.6982  0.13
O: 0.6738 0.9804 0.3018  0.13
O: 0.0196 0.3262 0.6982  0.13
O: 0.7522 0.7522 0.6420  0.22
O: 0.2478 0.2478 0.3580  0.22
U: 0.0000 0.0000 0.5000  0.00
Ag: 0.6652 0.3348 0.5000  0.30
Ag: 0.3348 0.6652 0.5000  0.30

## Properties
Uncorrected formation energy in meV per atom: -1593
M_tot in μB/atom: 0.159
E in eV/atom: -6.018


Entry 7:
Entry from the Alexandria database: crystalline ZnNi2Br at its relaxed geometry (PBE).

Unit cell a=7.4593 b=7.4593 c=7.4593 alpha=23.91 beta=23.91 gamma=23.91
Positions (direct):
Br: 0.7500 0.7500 0.7500
Ni: 0.9974 0.9974 0.9974
Ni: 0.5026 0.5026 0.5026
Zn: 0.2500 0.2500 0.2500

## Properties
Uncorrected formation energy in meV per atom: 312
M_tot in μB/atom: 0.000
E in eV/atom: -3.316


Entry 8:
Entry from the Alexandria database: crystalline SrNiW4 at its relaxed geometry (PBE).

Unit cell a=5.4401 b=5.4401 c=5.4401 alpha=60.00 beta=60.00 gamma=60.00
Positions (direct):
W: 0.3743 0.3743 0.3743
W: 0.8771 0.3743 0.3743
W: 0.3743 0.3743 0.8771
W: 0.3743 0.8771 0.3743
Ni: 0.7500 0.7500 0.7500
Sr: 0.0000 0.0000 0.0000

## Properties
M_tot in μB/atom: 0.000
E in eV/atom: -8.944


Entry 9:
Entry from the Alexandria database: crystalline TiPOsS2 at its relaxed geometry (PBE).

Unit cell a=4.7486 b=4.7486 c=4.3954 alpha=90.00 beta=90.00 gamma=90.00
Each line ends with the local moment (μB).
Positions (direct):
Os: 0.0000 0.0000 0.0000  0.35
S: 0.0000 0.5000 0.0000  0.04
S: 0.5000 0.0000 0.0000  0.04
P: 0.0000 0.0000 0.5000  -0.01
Ti: 0.5000 0.5000 0.5000  -0.21

## Properties
Uncorrected formation energy in meV per atom: 607
M_tot in μB/atom: 0.050
E in eV/atom: -5.950


Entry 10:
Entry from the Alexandria database: crystalline CuAgPd3 at its relaxed geometry (PBE).

Unit cell a=4.8371 b=7.3847 c=10.0623 alpha=26.92 beta=71.15 gamma=70.63
Positions (direct):
Ag: 0.6194 0.8992 0.8583
Ag: 0.1201 0.4859 0.1656
Pd: 0.1338 0.6763 0.7677
Pd: 0.6289 0.0661 0.4758
Pd: 0.6267 0.2666 0.0788
Pd: 0.1107 0.3189 0.5482
Pd: 0.6057 0.7088 0.2563
Pd: 0.1128 0.1184 0.9451
Cu: 0.6193 0.4978 0.6597
Cu: 0.1203 0.8873 0.3642

## Properties
M_tot in μB/atom: 0.000
E in eV/atom: -4.539


Entry 11:
Entry from the Alexandria database: crystalline Tb6Te3As2Pt at its relaxed geometry (PBE).

Unit cell a=4.1938 b=8.6523 c=9.6076 alpha=103.96 beta=102.61 gamma=90.00
Positions (direct):
Te: 0.1689 0.8318 0.3379
Te: 0.5000 0.5000 0.0000
Te: 0.8311 0.1682 0.6621
Tb: 0.6730 0.5665 0.3459
Tb: 0.9943 0.7759 0.9886
Tb: 0.3270 0.4335 0.6541
Tb: 0.6598 0.0994 0.3196
Tb: 0.0057 0.2241 0.0114
Tb: 0.3402 0.9006 0.6804
As: 0.8327 0.6643 0.6653
As: 0.1673 0.3357 0.3347
Pt: 0.5000 0.0000 0.0000

## Properties
Uncorrected formation energy in meV per atom: -1420
M_tot in μB/atom: 0.000
E in eV/atom: -5.799


Entry 12:
Entry from the Alexandria database: crystalline TbNd2Sm4Er at its relaxed geometry (PBE).

Unit cell a=5.1224 b=5.1120 c=11.4343 alpha=63.35 beta=90.00 gamma=90.00
Positions (direct):
Sm: 0.0000 0.2482 0.2514
Sm: 0.5000 0.7495 0.2504
Sm: 0.0000 0.7518 0.7486
Sm: 0.5000 0.2505 0.7496
Nd: 0.0000 0.0000 0.0000
Nd: 0.5000 0.0000 0.5000
Er: 0.0000 0.5000 0.5000
Tb: 0.5000 0.5000 0.0000

## Properties
M_tot in μB/atom: 0.000
E in eV/atom: -4.686